(1)
Density functional theory data (PBE) for crystalline La2Tb2CePr at its relaxed geometry.

a b c (Å): 6.7365 17.8098 3.3958
angles (deg): 90.00 90.00 90.00
Closest atoms and distances in Å follow each position.
Space group Pnnm (No. 58)
Unique sites:
La1 0.2147 0.1512 0.0000  4 Tb 3.30-3.53, 1 Pr 3.31, 2 La 3.40, 2 Ce 3.50
Tb1 0.2286 0.3248 0.5000  4 La 3.30-3.53, 2 Tb 3.40, 1 Pr 3.48
Ce1 0.0000 0.0000 0.5000  2 Ce 3.40, 4 La 3.50, 4 Pr 3.77
Pr1 0.0000 0.5000 0.5000  2 La 3.31, 2 Pr 3.40, 2 Tb 3.48

Values from the calculation:
Formation enthalpy at 0 K ... 1.6 eV per formula unit
Uncorrected energy ... -0.1728 hartree per atom
Crystal system ... orthorhombic

=====

(2)
Density functional theory data (PBE) for crystalline La6Tb2CePr at its relaxed geometry.

a b c (Å): 12.3432 6.8328 9.0292
angles (deg): 90.00 109.75 90.00
Closest atoms and distances in Å follow each position.
Space group C2/m (No. 12)
Unique sites:
La1 0.1500 0.2391 0.3131  3 La 3.27-3.56, 1 Ce 3.33, 1 Pr 3.33, 2 Tb 3.45-3.61
La2 0.1612 0.0000 0.9145  1 Ce 3.60, 3 Tb 3.85-3.97, 1 Pr 3.99, 4 La 4.00-4.01
Tb1 0.1016 0.5000 0.6776  1 Tb 3.34, 4 La 3.45-3.61, 1 Pr 3.54
Ce1 0.0000 0.0000 0.5000  6 La 3.33-3.60
Pr1 0.0000 0.5000 0.0000  4 La 3.33, 2 Tb 3.54

Values from the calculation:
Formation enthalpy at 0 K ... 2.2 eV per formula unit
Uncorrected energy ... -0.1740 hartree per atom
Crystal system ... monoclinic

=====

(3)
Density functional theory data (PBE) for crystalline La5TbCePr2 at its relaxed geometry.

a b c (Å): 8.7875 8.7875 16.4677
angles (deg): 90.00 90.00 90.00
Closest atoms and distances in Å follow each position.
Space group I4/mcm (No. 140)
Unique sites:
La1 0.0000 0.0000 0.0000  4 Pr 3.45
La2 0.1849 0.3151 0.1487  1 Ce 2.84
Tb1 0.0000 0.0000 0.2500  8 La 3.62
Ce1 0.0000 0.5000 0.2500  4 La 2.84
Pr1 0.1287 0.3713 0.5000  1 Pr 3.20, 4 La 3.37-3.45

Values from the calculation:
Formation enthalpy at 0 K ... 1.9 eV per formula unit
Uncorrected energy ... -0.1751 hartree per atom
Crystal system ... tetragonal

=====

(4)
Density functional theory data (PBE) for crystalline LaTbCePr at its relaxed geometry.

a b c (Å): 8.2072 8.2072 8.2072
angles (deg): 90.00 90.00 90.00
Closest atoms and distances in Å follow each position.
Space group F-43m (No. 216)
Unique sites:
La1 0.0000 0.0000 0.0000  4 Tb 3.55, 4 Ce 3.55
Tb1 0.2500 0.2500 0.2500  4 La 3.55, 4 Pr 3.55
Ce1 0.2500 0.2500 0.7500  4 La 3.55, 4 Pr 3.55
Pr1 0.0000 0.0000 0.5000  4 Tb 3.55, 4 Ce 3.55

Values from the calculation:
Formation enthalpy at 0 K ... 0.8 eV per formula unit
Uncorrected energy ... -0.1790 hartree per atom
Crystal system ... cubic

=====

(5)
Density functional theory data (PBE) for crystalline LaCePrTc at its relaxed geometry.

a b c (Å): 4.3777 4.3777 22.5285
angles (deg): 90.00 90.00 120.00
Closest atoms and distances in Å follow each position.
Space group R3m (No. 160, hexagonal axes)
Unique sites:
La1 0.0000 0.0000 0.0000  3 Ce 3.44, 3 Tc 3.53, 3 Pr 3.79
Ce1 0.0000 0.0000 0.5634  3 Tc 2.53
Pr1 0.0000 0.0000 0.7923  3 Tc 3.36, 3 Ce 3.45
Tc1 0.0000 0.0000 0.2237  3 Ce 2.53

Values from the calculation:
Formation enthalpy at 0 K ... 0.4 eV per formula unit
Uncorrected energy ... -0.2352 hartree per atom
Crystal system ... trigonal

=====

(6)
Density functional theory data (PBE) for crystalline La3CePr3Te8 at its relaxed geometry.

a b c (Å): 9.0540 9.0540 22.4196
angles (deg): 90.00 90.00 120.00
Closest atoms and distances in Å follow each position.
Space group R-3m (No. 166, hexagonal axes)
Unique sites:
La1 0.0000 0.5000 0.0000  6 Te 3.22
Ce1 0.0000 0.0000 0.5000  6 Te 3.25
Pr1 0.0000 0.5000 0.5000  6 Te 3.20
Te1 0.0000 0.0000 0.2494  3 Pr 3.20, 3 La 3.22
Te2 0.0049 0.5024 0.7495  2 Pr 3.20, 2 La 3.22, 1 Ce 3.25

Values from the calculation:
Uncorrected formation energy ... -1.510 eV per atom
Uncorrected energy ... -0.2030 hartree per atom
Crystal system ... trigonal

=====

(7)
Density functional theory data (PBE) for crystalline LaCe3Pr4Te8 at its relaxed geometry.

a b c (Å): 9.0329 9.0329 22.2368
angles (deg): 90.00 90.00 120.00
Closest atoms and distances in Å follow each position.
Space group R-3m (No. 166, hexagonal axes)
Unique sites:
La1 0.0000 0.0000 0.0000  6 Te 3.21
Ce1 0.0000 0.5000 0.0000  6 Te 3.19
Pr1 0.0000 0.0000 0.5000  6 Te 3.19
Pr2 0.0000 0.5000 0.5000  6 Te 3.21
Te1 0.0000 0.0000 0.2510  3 Ce 3.19, 3 Pr 3.21
Te2 0.0025 0.5013 0.2505  2 Ce 3.19, 3 Pr 3.19-3.21, 1 La 3.21

Values from the calculation:
Uncorrected formation energy ... -1.437 eV per atom
Uncorrected energy ... -0.2066 hartree per atom
Crystal system ... trigonal

=====

(8)
Density functional theory data (PBE) for crystalline La3Ce2PrTe6 at its relaxed geometry.

a b c (Å): 7.8370 13.5964 7.9186
angles (deg): 90.00 109.30 90.00
Closest atoms and distances in Å follow each position.
Space group C2/m (No. 12)
Unique sites:
La1 0.0000 0.0000 0.0000  6 Te 3.22-3.24
La2 0.0000 0.3359 0.0000  6 Te 3.22-3.24
Ce1 0.0000 0.1668 0.5000  6 Te 3.18-3.19
Pr1 0.0000 0.5000 0.5000  6 Te 3.20-3.21
Te1 0.2453 0.0000 0.7441  2 Ce 3.18, 1 Pr 3.20, 3 La 3.22
Te2 0.2499 0.1679 0.2537  2 Ce 3.19, 1 Pr 3.21, 3 La 3.24

Values from the calculation:
Uncorrected formation energy ... -1.496 eV per atom
Uncorrected energy ... -0.2089 hartree per atom
Crystal system ... monoclinic

=====

(9)
Density functional theory data (PBE) for crystalline La3Ce3PrTe8 at its relaxed geometry.

a b c (Å): 9.0184 9.0184 22.3624
angles (deg): 90.00 90.00 120.00
Closest atoms and distances in Å follow each position.
Space group R-3m (No. 166, hexagonal axes)
Unique sites:
La1 0.0000 0.5000 0.0000  6 Te 3.22
Ce1 0.0000 0.5000 0.5000  6 Te 3.18
Pr1 0.0000 0.0000 0.5000  6 Te 3.26
Te1 0.0000 0.0000 0.2484  3 Ce 3.18, 3 La 3.22
Te2 0.0080 0.5040 0.7497  2 Ce 3.18, 2 La 3.22, 1 Pr 3.26

Values from the calculation:
Uncorrected formation energy ... -1.493 eV per atom
Uncorrected energy ... -0.2080 hartree per atom
Crystal system ... trigonal

=====

(10)
Density functional theory data (PBE) for crystalline La4Ce3PrTe8 at its relaxed geometry.

a b c (Å): 9.0694 9.0694 22.3481
angles (deg): 90.00 90.00 120.00
Closest atoms and distances in Å follow each position.
Space group R-3m (No. 166, hexagonal axes)
Unique sites:
La1 0.0000 0.0000 0.0000  6 Te 3.22
La2 0.0000 0.5000 0.0000  6 Te 3.24
Ce1 0.0000 0.5000 0.5000  6 Te 3.19
Pr1 0.0000 0.0000 0.5000  6 Te 3.20
Te1 0.0000 0.0000 0.2482  3 Ce 3.19, 3 La 3.24
Te2 0.0015 0.5007 0.7515  2 Ce 3.19, 1 Pr 3.20, 3 La 3.22-3.24

Values from the calculation:
Uncorrected formation energy ... -1.491 eV per atom
Uncorrected energy ... -0.2097 hartree per atom
Crystal system ... trigonal

=====

(11)
Density functional theory data (PBE) for crystalline LaCe3Pr2Te6 at its relaxed geometry.

a b c (Å): 7.7863 13.5060 7.8943
angles (deg): 90.00 109.23 90.00
Closest atoms and distances in Å follow each position.
Space group C2/m (No. 12)
Unique sites:
La1 0.0000 0.0000 0.0000  6 Te 3.22
Ce1 0.0000 0.1664 0.5000  6 Te 3.17-3.19
Ce2 0.0000 0.5000 0.5000  6 Te 3.17-3.18
Pr1 0.0000 0.3329 0.0000  6 Te 3.21
Te1 0.2480 0.3328 0.7460  3 Ce 3.17-3.18, 2 Pr 3.21, 1 La 3.22
Te2 0.2502 0.0000 0.7468  3 Ce 3.17-3.19, 2 Pr 3.21, 1 La 3.22

Values from the calculation:
Uncorrected formation energy ... -1.435 eV per atom
Uncorrected energy ... -0.2093 hartree per atom
Crystal system ... monoclinic

=====

(12)
Density functional theory data (PBE) for crystalline La3CePr2Te6 at its relaxed geometry.

a b c (Å): 19.8197 4.5341 9.1506
angles (deg): 90.00 103.13 90.00
Closest atoms and distances in Å follow each position.
Space group C2/m (No. 12)
Unique sites:
La1 0.0000 0.0000 0.0000  6 Te 3.23-3.24
La2 0.1676 0.5000 0.3333  6 Te 3.23-3.24
Ce1 0.0000 0.0000 0.5000  6 Te 3.19-3.20
Pr1 0.1669 0.5000 0.8328  6 Te 3.20-3.22
Te1 0.9998 0.5000 0.2533  2 Ce 3.20, 1 Pr 3.22, 3 La 3.24
Te2 0.1650 0.0000 0.5836  1 Ce 3.19, 2 Pr 3.21, 3 La 3.23
Te3 0.1671 0.0000 0.0816  3 Pr 3.20-3.21, 3 La 3.23

Values from the calculation:
Uncorrected formation energy ... -1.508 eV per atom
Uncorrected energy ... -0.2059 hartree per atom
Crystal system ... monoclinic

=====

The DOS at the Fermi energy results, record by record, are as follows: 2.086, 2.345, 1.699, 2.684, 1.399, 1.008, 1.689, 1.591, 1.681, 1.734, 1.993, 1.142 states/eV per atom.